(1)
{
  "formula": "SrLiAg2",
  "functional": "PBE",
  "state": "relaxed",
  "lattice_angstrom": [[3.790, 0.000, 0.000], [0.000, 3.790, 0.000], [0.000, 0.000, 6.734]],
  "species": ["Sr", "Li", "Ag", "Ag"],
  "frac_coords": [[0.000, 0.000, 0.000], [0.500, 0.500, 0.649], [0.000, 0.000, 0.490], [0.500, 0.500, 0.272]],
  "formation_energy_mev_per_atom": -94,
  "magmom_total_mub_per_fu": 0.000,
  "spacegroup": "No. 99",
  "rho_g_cm3": 5.33
}



(2)
{
  "formula": "SrLiAg2",
  "functional": "PBE",
  "state": "relaxed",
  "lattice_angstrom": [[0.000, 3.609, 3.609], [3.609, 0.000, 3.609], [3.609, 3.609, 0.000]],
  "species": ["Sr", "Li", "Ag", "Ag"],
  "frac_coords": [[0.000, 0.000, 0.000], [0.250, 0.250, 0.250], [0.500, 0.500, 0.500], [0.750, 0.750, 0.750]],
  "formation_energy_mev_per_atom": -115,
  "magmom_total_mub_per_fu": 0.000,
  "spacegroup": "No. 216",
  "rho_g_cm3": 5.48
}



(3)
{
  "formula": "Sr6Li15Ag8",
  "functional": "PBE",
  "state": "relaxed",
  "lattice_angstrom": [[0.000, 7.068, 7.068], [7.068, 0.000, 7.068], [7.068, 7.068, 0.000]],
  "species": ["Sr", "Sr", "Sr", "Sr", "Sr", "Sr", "Li", "Li", "Li", "Li", "Li", "Li", "Li", "Li", "Li", "Li", "Li", "Li", "Li", "Li", "Li", "Ag", "Ag", "Ag", "Ag", "Ag", "Ag", "Ag", "Ag"],
  "frac_coords": [[0.227, 0.227, 0.773], [0.227, 0.773, 0.227], [0.227, 0.773, 0.773], [0.773, 0.227, 0.227], [0.773, 0.227, 0.773], [0.773, 0.773, 0.227], [0.000, 0.000, 0.500], [0.000, 0.500, 0.000], [0.000, 0.500, 0.500], [0.178, 0.178, 0.178], [0.178, 0.178, 0.465], [0.178, 0.465, 0.178], [0.465, 0.178, 0.178], [0.500, 0.000, 0.000], [0.500, 0.000, 0.500], [0.500, 0.500, 0.000], [0.500, 0.500, 0.500], [0.535, 0.822, 0.822], [0.822, 0.535, 0.822], [0.822, 0.822, 0.535], [0.822, 0.822, 0.822], [0.102, 0.633, 0.633], [0.367, 0.367, 0.367], [0.367, 0.367, 0.898], [0.367, 0.898, 0.367], [0.633, 0.102, 0.633], [0.633, 0.633, 0.102], [0.633, 0.633, 0.633], [0.898, 0.367, 0.367]],
  "formation_energy_mev_per_atom": -135,
  "magmom_total_mub_per_fu": 0.000,
  "spacegroup": "No. 225",
  "rho_g_cm3": 3.51
}



(4)
{
  "formula": "SrLi7Ag4",
  "functional": "PBE",
  "state": "relaxed",
  "lattice_angstrom": [[6.105, -2.556, 0.000], [6.105, 2.556, 0.000], [-5.421, 0.000, 7.822]],
  "species": ["Sr", "Li", "Li", "Li", "Li", "Li", "Li", "Li", "Ag", "Ag", "Ag", "Ag"],
  "frac_coords": [[0.000, 0.000, 0.000], [0.058, 0.058, 0.398], [0.219, 0.219, 0.869], [0.331, 0.331, 0.404], [0.500, 0.500, 0.000], [0.669, 0.669, 0.596], [0.781, 0.781, 0.131], [0.942, 0.942, 0.602], [0.309, 0.309, 0.668], [0.422, 0.422, 0.209], [0.578, 0.578, 0.791], [0.691, 0.691, 0.332]],
  "formation_energy_mev_per_atom": -44,
  "magmom_total_mub_per_fu": 0.000,
  "spacegroup": "No. 12",
  "rho_g_cm3": 3.86
}



(5)
{
  "formula": "SrLi6Ag6",
  "functional": "PBE",
  "state": "relaxed",
  "lattice_angstrom": [[-2.834, 4.564, 4.903], [2.834, -4.564, 4.903], [2.834, 4.564, -4.903]],
  "species": ["Sr", "Li", "Li", "Li", "Li", "Li", "Li", "Ag", "Ag", "Ag", "Ag", "Ag", "Ag"],
  "frac_coords": [[0.000, 0.000, 0.000], [0.208, 0.708, 0.500], [0.350, 0.000, 0.350], [0.358, 0.358, 0.000], [0.642, 0.642, 0.000], [0.650, 0.000, 0.650], [0.792, 0.292, 0.500], [0.000, 0.000, 0.500], [0.000, 0.500, 0.000], [0.225, 0.500, 0.725], [0.500, 0.000, 0.000], [0.500, 0.500, 0.500], [0.775, 0.500, 0.275]],
  "formation_energy_mev_per_atom": -189,
  "magmom_total_mub_per_fu": 0.000,
  "spacegroup": "No. 71",
  "rho_g_cm3": 5.08
}



(6)
{
  "formula": "SrLiAg2",
  "functional": "PBE",
  "state": "relaxed",
  "lattice_angstrom": [[4.005, -2.312, 0.000], [4.005, 2.312, 0.000], [-2.711, 0.000, 5.493]],
  "species": ["Sr", "Li", "Ag", "Ag"],
  "frac_coords": [[0.000, 0.000, 0.000], [0.194, 0.194, 0.585], [0.522, 0.522, 0.568], [0.795, 0.795, 0.389]],
  "formation_energy_mev_per_atom": -189,
  "magmom_total_mub_per_fu": 0.000,
  "spacegroup": "No. 8",
  "rho_g_cm3": 5.06
}



(7)
{
  "formula": "Sr5Li4Ag",
  "functional": "PBE",
  "state": "relaxed",
  "lattice_angstrom": [[4.166, 0.000, 0.000], [0.000, 4.166, 0.000], [0.000, 0.000, 20.748]],
  "species": ["Sr", "Sr", "Sr", "Sr", "Sr", "Li", "Li", "Li", "Li", "Ag"],
  "frac_coords": [[0.000, 0.000, 0.000], [0.000, 0.000, 0.205], [0.000, 0.000, 0.410], [0.000, 0.000, 0.590], [0.000, 0.000, 0.795], [0.500, 0.500, 0.103], [0.500, 0.500, 0.306], [0.500, 0.500, 0.694], [0.500, 0.500, 0.897], [0.500, 0.500, 0.500]],
  "formation_energy_mev_per_atom": -30,
  "magmom_total_mub_per_fu": 0.000,
  "spacegroup": "No. 123",
  "rho_g_cm3": 2.65
}



(8)
{
  "formula": "Sr2LiAg",
  "functional": "PBE",
  "state": "relaxed",
  "lattice_angstrom": [[4.679, 0.000, 0.000], [0.000, 4.709, 0.000], [-2.328, 0.000, 6.213]],
  "species": ["Sr", "Sr", "Li", "Ag"],
  "frac_coords": [[0.000, 0.000, 0.000], [0.286, 0.500, 0.573], [0.698, 0.000, 0.398], [0.579, 0.500, 0.158]],
  "formation_energy_mev_per_atom": -165,
  "magmom_total_mub_per_fu": 0.000,
  "spacegroup": "No. 6",
  "rho_g_cm3": 3.52
}